Record 1
Crystalline PrY5Ho3 at its relaxed geometry, computed with PBE.

Lattice parameters (Å, degrees): 8.603 8.603 15.755 90.00 90.00 90.00
Space group I4/mcm (No. 140)
Unique sites:
Pr 0.000 0.500 0.250
Y 0.000 0.000 0.000
Y 0.201 0.299 0.136
Ho 0.000 0.000 0.250
Ho 0.120 0.380 0.500

Properties
formation energy from the elements: 0.274 eV per atom
energy above the most stable polymorph in this dataset: 0.46 eV/f.u.
M_tot: 0.000 μB per atom

***

Record 2
Crystalline Pr12Y7Ho at its relaxed geometry, computed with PBE.

Lattice parameters (Å, degrees): 12.4376 12.4376 15.7579 90.00 90.00 120.00
Space group R-3 (No. 148, hexagonal axes)
Unique sites:
Pr 0.0200 0.5741 0.2192
Pr 0.0602 0.4680 0.5806
Y 0.0000 0.0000 0.0000
Y 0.0523 0.8662 0.3008
Ho 0.0000 0.0000 0.5000

Properties
formation energy from the elements: 0.210 eV per atom
energy above the most stable polymorph in this dataset: 0.00 eV/f.u.
M_tot: 0.000 μB per atom

***

Record 3
Crystalline Pr7YHo3 at its relaxed geometry, computed with PBE.

Lattice parameters (Å, degrees): 12.911 11.471 5.956 90.00 117.44 90.00
Space group C2/m (No. 12)
Unique sites:
Pr 0.000 0.000 0.000
Pr 0.193 0.291 0.693
Pr 0.208 0.500 0.207
Y 0.000 0.000 0.500
Ho 0.000 0.295 0.000
Ho 0.000 0.500 0.500

Properties
formation energy from the elements: 0.221 eV per atom
energy above the most stable polymorph in this dataset: 0.41 eV/f.u.
M_tot: 0.000 μB per atom

***

Record 4
Crystalline Pr5YHo3 at its relaxed geometry, computed with PBE.

Lattice parameters (Å, degrees): 15.370 11.749 9.999 90.00 129.75 90.00
Space group C2/m (No. 12)
Unique sites:
Pr 0.000 0.246 0.000
Pr 0.143 0.250 0.742
Pr 0.230 0.000 0.238
Pr 0.249 0.000 0.587
Y 0.229 0.500 0.051
Ho 0.000 0.000 0.500
Ho 0.000 0.500 0.000
Ho 0.006 0.000 0.823
Ho 0.013 0.500 0.350

Properties
formation energy from the elements: 0.449 eV per atom
energy above the most stable polymorph in this dataset: 1.56 eV/f.u.
M_tot: 0.000 μB per atom